Entry 1:
The following is a DFT calculation (PBE) of an optimized crystal structure of Pm2NdErS4.

Lattice parameters (Å, degrees): 6.9429 3.9564 6.9797 90.00 108.90 90.00
Last column: nearest neighbours and their distance in Å.
Space group P2/m (No. 10)
Symmetry-distinct sites (fractional):
Pm 0.0000 0.0000 0.0000  6 S 2.82
Pm 0.0000 0.5000 0.5000  6 S 2.90
Nd 0.5000 0.0000 0.5000  6 S 2.84-2.85
Er 0.5000 0.5000 0.0000  6 S 2.76-2.77
S 0.2537 0.5000 0.2419  1 Er 2.77, 3 Pm 2.82-2.90, 2 Nd 2.84
S 0.2606 0.0000 0.7627  2 Er 2.76, 3 Pm 2.82-2.90, 1 Nd 2.85

Output
- calculated density (g cm⁻³) = 6.7
- final energy (eV per atom) = -6.423
- D(E_F) (states/eV per cell) = 4.64
- uncorrected formation energy (meV/atom) = -2005



Entry 2:
The following is a DFT calculation (PBE) of an optimized crystal structure of ReRh.

Lattice parameters (Å, degrees): 7.2153 7.5709 9.4245 90.00 90.00 90.00
Last column: nearest neighbours and their distance in Å.
Space group Fddd (No. 70, origin choice 2)
Symmetry-distinct sites (fractional):
Re 0.0380 0.3750 0.3750  1 Re 2.35, 2 Rh 2.52
Rh 0.1250 0.2925 0.6250  6 Re 2.52-2.78, 1 Rh 2.54

Output
- calculated density (g cm⁻³) = 14.9
- final energy (eV per atom) = -9.235
- D(E_F) (states/eV per cell) = 50.34
- energy above the lowest structure with this stoichiometry (meV per atom) = 841
- formation energy from the elements (kJ/mol of atoms) = 64



Entry 3:
The following is a DFT calculation (PBE) of an optimized crystal structure of TlSnOs2Pt.

Lattice parameters (Å, degrees): 4.9046 4.9046 5.0658 90.00 90.00 90.00
Last column: nearest neighbours and their distance in Å.
Space group P4/mmm (No. 123)
Symmetry-distinct sites (fractional):
Tl 0.0000 0.0000 0.0000  4 Sn 3.47, 8 Os 3.53
Sn 0.5000 0.5000 0.0000  2 Pt 2.53
Os 0.0000 0.5000 0.5000  2 Pt 2.45
Pt 0.5000 0.5000 0.5000  4 Os 2.45, 2 Sn 2.53

Output
- calculated density (g cm⁻³) = 12.2
- final energy (eV per atom) = -5.280
- D(E_F) (states/eV per cell) = 6.96
- formation energy from the elements (kJ/mol of atoms) = 163



Entry 4:
The following is a DFT calculation (PBE) of an optimized crystal structure of PrSm2Th6.

Lattice parameters (Å, degrees): 3.5577 3.5577 27.3009 90.00 90.00 120.00
Last column: nearest neighbours and their distance in Å.
Space group P-6m2 (No. 187)
Symmetry-distinct sites (fractional):
Pr 0.0000 0.0000 0.0000  6 Pr 3.56, 6 Th 3.70
Sm 0.6667 0.3333 0.3302  6 Sm 3.56, 6 Th 3.62-3.65
Th 0.0000 0.0000 0.2197  9 Th 3.56-3.57, 3 Sm 3.65
Th 0.0000 0.0000 0.4394  7 Th 3.31-3.56, 3 Sm 3.62
Th 0.6667 0.3333 0.1129  9 Th 3.56-3.57, 3 Pr 3.70

Output
- calculated density (g cm⁻³) = 10.2
- final energy (eV per atom) = -6.427
- D(E_F) (states/eV per cell) = 13.69
- formation energy from the elements (kJ/mol of atoms) = 10



Entry 5:
The following is a DFT calculation (PBE) of an optimized crystal structure of Pm4BeNi3.

Lattice parameters (Å, degrees): 3.8368 4.2404 10.7303 90.00 90.00 90.00
Last column: nearest neighbours and their distance in Å.
Space group Pmm2 (No. 25)
Symmetry-distinct sites (fractional):
Pm 0.0000 0.0000 0.0000  6 Ni 2.93-2.95
Pm 0.0000 0.5000 0.2699  6 Ni 2.89-2.94
Pm 0.5000 0.0000 0.4928  2 Be 2.87, 5 Ni 3.02-3.07
Pm 0.5000 0.5000 0.7766  3 Ni 2.81-3.13, 4 Be 3.00
Be 0.0000 0.0000 0.6911  2 Ni 2.41
Ni 0.0000 0.5000 0.5847  2 Be 2.41
Ni 0.5000 0.0000 0.2068  2 Ni 2.59
Ni 0.5000 0.5000 0.0679  2 Ni 2.59, 2 Pm 2.89

Output
- calculated density (g cm⁻³) = 7.3
- final energy (eV per atom) = -5.248
- D(E_F) (states/eV per cell) = 6.08
- formation energy from the elements (kJ/mol of atoms) = -23



Entry 6:
The following is a DFT calculation (PBE) of an optimized crystal structure of K4LiBe.

Lattice parameters (Å, degrees): 10.9563 10.9563 10.9563 90.00 90.00 90.00
Last column: nearest neighbours and their distance in Å.
Space group F-43m (No. 216)
Symmetry-distinct sites (fractional):
K 0.1253 0.1253 0.1253  6 K 3.86-3.88
Li 0.2500 0.2500 0.7500  12 K 4.54, 4 Be 4.74
Be 0.0000 0.0000 0.5000  12 K 4.54, 4 Li 4.74

Output
- calculated density (g cm⁻³) = 0.9
- final energy (eV per atom) = -0.962
- D(E_F) (states/eV per cell) = 16.14
- formation energy from the elements (kJ/mol of atoms) = 69



Entry 7:
The following is a DFT calculation (PBE) of an optimized crystal structure of TmMg6Sc3.

Lattice parameters (Å, degrees): 8.9019 5.1062 10.8456 90.00 105.88 90.00
Last column: nearest neighbours and their distance in Å.
Space group P2_1/m (No. 11)
Symmetry-distinct sites (fractional):
Tm 0.0515 0.2500 0.4010  8 Mg 3.17-3.23
Mg 0.0542 0.7500 0.9052  3 Mg 3.08-3.17, 4 Sc 3.13-3.18, 1 Tm 3.20
Mg 0.1512 0.7500 0.2008  8 Mg 3.08-3.17
Mg 0.1560 0.2500 0.7085  4 Sc 3.07-3.14, 1 Mg 3.15, 3 Tm 3.18-3.21
Mg 0.2601 0.7500 0.5017  4 Sc 3.09-3.13, 1 Mg 3.14, 3 Tm 3.17-3.23
Mg 0.3549 0.2500 0.3000  5 Sc 3.09-3.18, 2 Mg 3.15, 1 Tm 3.18
Mg 0.4497 0.7500 0.1002  7 Sc 3.08-3.12, 1 Mg 3.14
Sc 0.2556 0.2500 0.0027  8 Mg 3.07-3.18
Sc 0.3521 0.7500 0.8020  8 Mg 3.10-3.15
Sc 0.4521 0.2500 0.6048  8 Mg 3.08-3.18

Output
- calculated density (g cm⁻³) = 3.1
- final energy (eV per atom) = -3.338
- D(E_F) (states/eV per cell) = 20.43
- formation energy from the elements (kJ/mol of atoms) = -3



Entry 8:
The following is a DFT calculation (PBE) of an optimized crystal structure of LaSm3Er3.

Lattice parameters (Å, degrees): 8.6922 8.6922 22.1316 90.00 90.00 120.00
Last column: nearest neighbours and their distance in Å.
Space group R-3 (No. 148, hexagonal axes)
Symmetry-distinct sites (fractional):
La 0.0000 0.0000 0.1529  6 Er 3.57-3.84, 6 Sm 3.71-3.80
Sm 0.0520 0.4483 0.3796  4 Er 3.32-3.63, 2 Sm 3.62, 1 La 3.71
Er 0.0054 0.2298 0.5589  4 Er 3.27-3.42, 4 Sm 3.32-3.63, 1 La 3.57

Output
- calculated density (g cm⁻³) = 7.5
- final energy (eV per atom) = -4.484
- D(E_F) (states/eV per cell) = 66.58
- energy above the lowest structure with this stoichiometry (meV per atom) = 173
- formation energy from the elements (kJ/mol of atoms) = 19



Entry 9:
The following is a DFT calculation (PBE) of an optimized crystal structure of CrIrAu4.

Lattice parameters (Å, degrees): 7.6204 7.6204 7.6204 90.00 90.00 90.00
Last column: nearest neighbours and their distance in Å.
Space group F-43m (No. 216)
Symmetry-distinct sites (fractional):
Cr 0.0000 0.0000 0.0000  12 Au 3.16, 4 Ir 3.30
Ir 0.2500 0.2500 0.7500  12 Au 3.16, 4 Cr 3.30
Au 0.1249 0.1249 0.3751  6 Au 2.69-2.70

Output
- calculated density (g cm⁻³) = 15.5
- final energy (eV per atom) = -4.699
- D(E_F) (states/eV per cell) = 33.25
- formation energy from the elements (kJ/mol of atoms) = 55



Entry 10:
The following is a DFT calculation (PBE) of an optimized crystal structure of Fe3Ir.

Lattice parameters (Å, degrees): 8.2778 8.2778 2.6123 90.00 90.00 120.00
Last column: nearest neighbours and their distance in Å.
Space group R-3m (No. 166, hexagonal axes)
Symmetry-distinct sites (fractional):
Fe 0.0000 0.5000 0.0000  6 Fe 2.54-2.61, 2 Ir 2.54
Ir 0.0000 0.0000 0.0000  6 Fe 2.54, 2 Ir 2.61

Output
- calculated density (g cm⁻³) = 11.6
- final energy (eV per atom) = -8.556
- D(E_F) (states/eV per cell) = 8.30
- formation energy from the elements (kJ/mol of atoms) = 1



Question: Which of these has the lowest D(E_F)?
Answer: Pm2NdErS4